This record from Alexandria describes a geometry-optimized Ce2DyOs structure. The functional is PBE.

Summary:
E: -6.68 eV per atom
Excess energy over the best structure of this formula in the dataset: 396 meV/atom
N(E_F): 29.44 states/eV/cell
Calculated formation energy: 245 meV per atom
Volume: 30.5 A^3/atom

Cell lengths 3.7572, 3.7572, 29.9177 Å; angles 90.00, 90.00, 120.00 degrees
Space group R-3m (No. 166, hexagonal axes)
One atom of each set of equivalent atoms:
Ce 0.0000 0.0000 0.1104 x6
Dy 0.0000 0.0000 0.0000 x3
Os 0.0000 0.0000 0.5000 x3

This record from Alexandria describes a geometry-optimized PuThCoAu structure. The functional is PBE.

Summary:
E: -8.20 eV per atom
N(E_F): 42.21 states/eV/cell
Calculated formation energy: -167 meV per atom
Volume: 22.7 A^3/atom

Cell lengths 7.130, 7.130, 7.130 Å; angles 90.00, 90.00, 90.00 degrees
Space group F-43m (No. 216)
One atom of each set of equivalent atoms:
Pu 0.000 0.000 0.000 x4
Th 0.000 0.000 0.500 x4
Co 0.250 0.250 0.750 x4
Au 0.250 0.250 0.250 x4

This record from Alexandria describes a geometry-optimized Dy3ErTe4 structure. The functional is PBE.

Summary:
E: -5.13 eV per atom
N(E_F): 9.52 states/eV/cell
Formation energy without anion corrections: -1.26 eV per atom
Volume: 29.0 A^3/atom

Cell lengths 8.803, 12.287, 4.284 Å; angles 90.00, 90.00, 90.00 degrees
Space group Cmmm (No. 65)
One atom of each set of equivalent atoms:
Dy 0.000 0.000 0.000 x2
Dy 0.250 0.250 0.500 x4
Er 0.000 0.500 0.000 x2
Te 0.000 0.251 0.000 x4
Te 0.248 0.500 0.500 x4

This record from Alexandria describes a geometry-optimized Dy2ErGe2Rh5 structure. The functional is PBE.

Summary:
E: -6.85 eV per atom
N(E_F): 10.40 states/eV/cell
Calculated formation energy: -874 meV per atom
Volume: 18.1 A^3/atom

Cell lengths 9.940, 9.940, 3.657 Å; angles 90.00, 90.00, 90.00 degrees
Space group P4/mbm (No. 127)
One atom of each set of equivalent atoms:
Dy 0.173 0.327 0.000 x4
Er 0.000 0.000 0.000 x2
Ge 0.124 0.624 0.000 x4
Rh 0.000 0.500 0.500 x2
Rh 0.070 0.784 0.500 x8

This record from Alexandria describes a geometry-optimized Ca4InIr structure. The functional is PBE.

Summary:
E: -3.64 eV per atom
Excess energy over the best structure of this formula in the dataset: 0 meV/atom
N(E_F): 11.17 states/eV/cell
Calculated formation energy: -377 meV per atom
Volume: 29.9 A^3/atom

Cell lengths 9.101, 13.736, 6.144 Å; angles 90.00, 110.73, 90.00 degrees
Space group C2/c (No. 15)
One atom of each set of equivalent atoms:
Ca 0.111 0.167 0.060 x8
Ca 0.218 0.428 0.355 x8
In 0.000 0.369 0.750 x4
Ir 0.000 0.001 0.250 x4

This record from Alexandria describes a geometry-optimized Cs2Ge3Te5 structure. The functional is PBE.

Summary:
E: -3.47 eV per atom
Excess energy over the best structure of this formula in the dataset: 86 meV/atom
N(E_F): 11.49 states/eV/cell
Formation energy without anion corrections: -0.34 eV per atom
Volume: 41.5 A^3/atom

Cell lengths 11.180, 21.985, 6.750 Å; angles 90.00, 90.00, 90.00 degrees
Space group Ibam (No. 72)
One atom of each set of equivalent atoms:
Cs 0.179 0.165 0.000 x8
Ge 0.000 0.000 0.250 x4
Ge 0.099 0.404 0.000 x8
Te 0.000 0.305 0.250 x8
Te 0.000 0.500 0.250 x4
Te 0.147 0.076 0.500 x8

This record from Alexandria describes a geometry-optimized ZrInPCl2 structure. The functional is PBE.

Summary:
E: -4.85 eV per atom
Excess energy over the best structure of this formula in the dataset: 0 meV/atom
N(E_F): 1.73 states/eV/cell
Formation energy without anion corrections: -0.77 eV per atom
Volume: 26.9 A^3/atom

Cell lengths 5.118, 5.118, 5.130 Å; angles 90.00, 90.00, 90.00 degrees
Space group P4/mmm (No. 123)
One atom of each set of equivalent atoms:
Zr 0.000 0.000 0.000 x1
In 0.500 0.500 0.500 x1
P 0.000 0.000 0.500 x1
Cl 0.000 0.500 0.000 x2

This record from Alexandria describes a geometry-optimized NdSc2In structure. The functional is PBE.

Summary:
E: -5.10 eV per atom
Excess energy over the best structure of this formula in the dataset: 186 meV/atom
N(E_F): 17.49 states/eV/cell
Calculated formation energy: -58 meV per atom
Volume: 28.6 A^3/atom

Cell lengths 4.9666, 4.9666, 16.0491 Å; angles 90.00, 90.00, 120.00 degrees
Space group R3m (No. 160, hexagonal axes)
One atom of each set of equivalent atoms:
Nd 0.0000 0.0000 0.0000 x3
Sc 0.0000 0.0000 0.5464 x3
Sc 0.0000 0.0000 0.7863 x3
In 0.0000 0.0000 0.2129 x3

This record from Alexandria describes a geometry-optimized TiV structure. The functional is PBE.

Summary:
E: -8.39 eV per atom
N(E_F): 9.28 states/eV/cell
Calculated formation energy: 121 meV per atom
Volume: 15.2 A^3/atom

Cell lengths 3.115, 4.413, 4.412 Å; angles 90.00, 90.00, 90.00 degrees
Space group Cmmm (No. 65)
One atom of each set of equivalent atoms:
Ti 0.000 0.000 0.000 x2
V 0.000 0.500 0.500 x2

This record from Alexandria describes a geometry-optimized LuCdNiIr structure. The functional is PBE.

Summary:
E: -5.38 eV per atom
N(E_F): 6.01 states/eV/cell
Calculated formation energy: -357 meV per atom
Volume: 17.4 A^3/atom

Cell lengths 6.524, 6.524, 6.524 Å; angles 90.00, 90.00, 90.00 degrees
Space group F-43m (No. 216)
One atom of each set of equivalent atoms:
Lu 0.000 0.000 0.000 x4
Cd 0.000 0.000 0.500 x4
Ni 0.250 0.250 0.750 x4
Ir 0.250 0.250 0.250 x4

This record from Alexandria describes a geometry-optimized ThMg2Hg structure. The functional is PBE.

Summary:
E: -2.85 eV per atom
Excess energy over the best structure of this formula in the dataset: 0 meV/atom
N(E_F): 9.25 states/eV/cell
Calculated formation energy: -121 meV per atom
Volume: 25.4 A^3/atom

Cell lengths 4.716, 6.226, 6.910 Å; angles 90.00, 90.00, 90.00 degrees
Space group Pmmn (No. 59, origin choice 2)
One atom of each set of equivalent atoms:
Th 0.250 0.250 0.080 x2
Mg 0.250 0.504 0.631 x4
Hg 0.250 0.750 0.251 x2

This record from Alexandria describes a geometry-optimized Nd4Bi3O structure. The functional is PBE.

Summary:
E: -5.71 eV per atom
N(E_F): 5.79 states/eV/cell
Formation energy without anion corrections: -1.25 eV per atom
Volume: 33.1 A^3/atom

Cell lengths 12.632, 6.475, 6.476 Å; angles 90.00, 90.00, 90.00 degrees
Space group Pmn2_1 (No. 31)
One atom of each set of equivalent atoms:
Nd 0.000 0.152 0.000 x2
Nd 0.000 0.745 0.403 x2
Nd 0.250 0.242 0.502 x4
Bi 0.000 0.244 0.499 x2
Bi 0.250 0.258 0.002 x4
O 0.000 0.821 0.073 x2